A plane-wave DFT calculation with PBE was carried out for a geometry-optimized BiRh5Se8 structure.

abc: 3.704 8.547 9.540
angles: 102.32 101.19 90.00
Fractional coordinates of all 14 atoms:
Bi 0.478 0.490 0.957
Rh 0.300 0.679 0.600
Rh 0.703 0.320 0.405
Rh 0.342 0.020 0.684
Rh 0.656 0.973 0.312
Rh 0.007 0.005 0.014
Se 0.236 0.151 0.472
Se 0.764 0.848 0.527
Se 0.177 0.497 0.355
Se 0.830 0.504 0.659
Se 0.090 0.814 0.179
Se 0.913 0.174 0.827
Se 0.437 0.838 0.874
Se 0.568 0.186 0.136

Properties
* formation energy without anion corrections: -0.3182 eV per atom

A plane-wave DFT calculation with PBE was carried out for a geometry-optimized PmHo3S4 structure.

abc: 3.882 6.819 6.819
angles: 108.96 90.00 90.00
Fractional coordinates of all 8 atoms:
S 0.000 0.259 0.259
S 0.500 0.745 0.255
S 0.000 0.741 0.741
S 0.500 0.255 0.745
Ho 0.000 0.000 0.500
Ho 0.500 0.500 0.500
Ho 0.000 0.500 0.000
Pm 0.500 0.000 0.000

Properties
* formation energy without anion corrections: -1.9842 eV per atom
* offset from the most stable computed form: 0.000 eV/atom

A plane-wave DFT calculation with PBE was carried out for a geometry-optimized BaCuNiGe2 structure.

abc: 4.291 4.291 6.444
angles: 109.45 109.45 90.00
Fractional coordinates of all 5 atoms:
Ba 0.000 0.000 0.000
Cu 0.250 0.750 0.500
Ni 0.750 0.250 0.500
Ge 0.652 0.652 0.304
Ge 0.348 0.348 0.696

Properties
* offset from the most stable computed form: 0.000 eV/atom
* E_form: -1.8 eV per formula unit

A plane-wave DFT calculation with PBE was carried out for a geometry-optimized SnBi2RhW structure.

abc: 5.647 5.070 5.647
angles: 90.00 90.00 90.00
Last column: magnetic moment on the atom in μB.
Fractional coordinates of all 5 atoms:
Rh 0.500 0.500 0.500  -0.81
Bi 0.000 0.000 0.500  -0.08
Bi 0.500 0.000 0.000  -0.14
W 0.000 0.500 0.000  1.95
Sn 0.000 0.000 0.000  -0.04

Properties
* E_form: 9.9 eV per formula unit

A plane-wave DFT calculation with PBE was carried out for a geometry-optimized PmLuGa structure.

abc: 4.977 4.977 4.977
angles: 60.00 60.00 60.00
Fractional coordinates of all 3 atoms:
Lu 0.000 0.000 0.000
Ga 0.250 0.250 0.250
Pm 0.500 0.500 0.500

Properties
* offset from the most stable computed form: 0.124 eV/atom
* E_form: -0.7 eV per formula unit

A plane-wave DFT calculation with PBE was carried out for a geometry-optimized NaScSe2Br structure.

abc: 5.103 5.103 5.065
angles: 90.00 90.00 90.00
Fractional coordinates of all 5 atoms:
Sc 0.500 0.500 0.500
Na 0.000 0.000 0.000
Se 0.000 0.500 0.000
Se 0.500 0.000 0.000
Br 0.000 0.000 0.500

Properties
* formation energy without anion corrections: -0.1257 eV per atom
* offset from the most stable computed form: 1.005 eV/atom

A plane-wave DFT calculation with PBE was carried out for a geometry-optimized La2BiIrC structure.

abc: 5.573 5.573 3.917
angles: 90.00 90.00 90.00
Fractional coordinates of all 5 atoms:
C 0.000 0.000 0.000
Ir 0.000 0.000 0.500
Bi 0.500 0.500 0.500
La 0.000 0.500 0.000
La 0.500 0.000 0.000

Properties
* E_form: -2.9 eV per formula unit

A plane-wave DFT calculation with PBE was carried out for a geometry-optimized Pm2Zn4GeAu3 structure.

abc: 4.250 4.250 11.194
angles: 90.00 90.00 90.00
Fractional coordinates of all 10 atoms:
Pm 0.500 0.000 0.255
Pm 0.000 0.500 0.745
Zn 0.500 0.500 0.000
Zn 0.000 0.000 0.000
Zn 0.500 0.000 0.634
Zn 0.000 0.500 0.366
Ge 0.500 0.500 0.500
Au 0.000 0.000 0.500
Au 0.500 0.000 0.860
Au 0.000 0.500 0.140

Properties
* E_form: -4.9 eV per formula unit

A plane-wave DFT calculation with PBE was carried out for a geometry-optimized OsRuW structure.

abc: 4.797 4.797 4.797
angles: 146.67 132.23 59.50
Fractional coordinates of all 3 atoms:
Os 0.002 0.002 0.000
Ru 0.664 0.664 0.000
W 0.334 0.334 0.000

Properties
* offset from the most stable computed form: 0.054 eV/atom
* E_form: 0.3 eV per formula unit

A plane-wave DFT calculation with PBE was carried out for a geometry-optimized Dy3Pd2Rh2 structure.

abc: 4.700 4.702 7.684
angles: 107.39 90.42 119.77
Fractional coordinates of all 7 atoms:
Dy 0.000 0.000 0.000
Dy 0.572 0.147 0.718
Dy 0.428 0.853 0.282
Pd 0.150 0.299 0.449
Pd 0.850 0.701 0.551
Rh 0.711 0.420 0.131
Rh 0.289 0.580 0.869

Properties
* E_form: -5.4 eV per formula unit

A plane-wave DFT calculation with PBE was carried out for a geometry-optimized AcPm4Y structure.

abc: 6.774 6.774 6.774
angles: 60.00 60.00 60.00
Fractional coordinates of all 6 atoms:
Y 0.000 0.000 0.000
Ac 0.250 0.250 0.250
Pm 0.626 0.626 0.121
Pm 0.626 0.121 0.626
Pm 0.626 0.626 0.626
Pm 0.121 0.626 0.626

Properties
* offset from the most stable computed form: 0.193 eV/atom
* E_form: 1.3 eV per formula unit

A plane-wave DFT calculation with PBE was carried out for a geometry-optimized TlW2Cl structure.

abc: 3.162 3.162 8.548
angles: 90.00 90.00 90.00
Fractional coordinates of all 4 atoms:
Cl 0.000 0.000 0.435
Tl 0.500 0.500 0.797
W 0.000 0.000 0.053
W 0.500 0.500 0.216

Properties
* formation energy without anion corrections: 0.4882 eV per atom
* offset from the most stable computed form: 0.197 eV/atom

A plane-wave DFT calculation with PBE was carried out for a geometry-optimized CaPdW structure.

abc: 4.180 5.850 6.208
angles: 122.00 90.00 90.02
Fractional coordinates of all 6 atoms:
Ca 0.343 0.569 0.858
Ca 0.342 0.209 0.178
Pd 0.842 0.147 0.865
Pd 0.842 0.147 0.430
W 0.842 0.610 0.379
W 0.342 0.899 0.523

Properties
* offset from the most stable computed form: 0.304 eV/atom
* E_form: 0.9 eV per formula unit

A plane-wave DFT calculation with PBE was carried out for a geometry-optimized CeSm2Te3 structure.

abc: 4.437 6.304 7.750
angles: 114.00 106.64 90.00
Last column: magnetic moment on the atom in μB.
Fractional coordinates of all 6 atoms:
Ce 0.500 0.500 0.500  0.97
Sm 0.833 0.833 0.165  0.03
Sm 0.167 0.167 0.835  0.03
Te 0.832 0.332 0.164  -0.01
Te 0.168 0.668 0.836  -0.01
Te 0.500 0.000 0.500  -0.01

Properties
* formation energy without anion corrections: -1.3845 eV per atom

A plane-wave DFT calculation with PBE was carried out for a geometry-optimized LaRh2Br structure.

abc: 3.579 3.586 7.901
angles: 76.02 90.00 90.00
Last column: magnetic moment on the atom in μB.
Fractional coordinates of all 4 atoms:
Rh 0.000 0.036 0.041  0.21
Rh 0.500 0.490 0.127  0.24
Br 0.000 0.302 0.544  0.00
La 0.500 0.672 0.788  -0.02

Properties
* formation energy without anion corrections: -0.4809 eV per atom
* offset from the most stable computed form: 0.000 eV/atom

A plane-wave DFT calculation with PBE was carried out for a geometry-optimized NaCe2Pb structure.

abc: 3.340 3.340 12.858
angles: 82.54 82.54 60.00
Last column: magnetic moment on the atom in μB.
Fractional coordinates of all 4 atoms:
Pb 0.500 0.500 0.500  -0.01
Na 0.000 0.000 0.000  0.00
Ce 0.092 0.092 0.723  0.79
Ce 0.908 0.908 0.277  0.79

Properties
* E_form: 0.4 eV per formula unit

A plane-wave DFT calculation with PBE was carried out for a geometry-optimized K3PbSe2 structure.

abc: 7.873 7.566 9.520
angles: 113.42 114.43 90.00
Last column: magnetic moment on the atom in μB.
Fractional coordinates of all 12 atoms:
K 0.500 0.250 0.000  0.00
K 0.500 0.750 0.000  0.00
K 0.764 0.014 0.529  0.00
K 0.236 0.486 0.471  0.00
K 0.236 0.986 0.471  0.00
K 0.764 0.514 0.529  0.00
Pb 0.000 0.500 0.000  0.11
Pb 0.000 0.000 0.000  0.11
Se 0.591 0.367 0.734  0.01
Se 0.857 0.133 0.266  0.01
Se 0.143 0.867 0.734  0.01
Se 0.409 0.633 0.266  0.01

Properties
* formation energy without anion corrections: -0.7738 eV per atom

A plane-wave DFT calculation with PBE was carried out for a geometry-optimized Ba2LiHg structure.

abc: 8.238 8.238 8.238
angles: 151.37 57.40 131.38
Fractional coordinates of all 4 atoms:
Ba 0.272 0.000 0.272
Ba 0.728 0.000 0.728
Li 0.000 0.000 0.000
Hg 0.500 0.000 0.500

Properties
* E_form: 1.0 eV per formula unit

A plane-wave DFT calculation with PBE was carried out for a geometry-optimized Ag2IrSe structure.

abc: 4.632 3.870 3.870
angles: 90.00 90.00 90.00
Fractional coordinates of all 4 atoms:
Ag 0.000 0.000 0.000
Ag 0.000 0.500 0.500
Ir 0.500 0.500 0.000
Se 0.500 0.000 0.500

Properties
* formation energy without anion corrections: 0.4689 eV per atom

A plane-wave DFT calculation with PBE was carried out for a geometry-optimized Li2AsPbSe4 structure.

abc: 7.990 7.990 8.041
angles: 120.22 120.22 90.54
Fractional coordinates of all 16 atoms:
Li 0.500 0.000 0.000
Li 0.500 0.000 0.500
Li 0.000 0.000 0.500
Li 0.500 0.500 0.000
As 0.500 0.500 0.500
As 0.000 0.000 0.000
Pb 0.000 0.500 0.000
Pb 0.000 0.500 0.500
Se 0.266 0.781 0.023
Se 0.719 0.234 0.477
Se 0.281 0.766 0.523
Se 0.734 0.219 0.977
Se 0.740 0.760 0.989
Se 0.740 0.760 0.511
Se 0.260 0.240 0.489
Se 0.260 0.240 0.011

Properties
* formation energy without anion corrections: -0.5697 eV per atom

no.,theoretical density (g/cm³)
1,7.8
2,7.5
3,6.4
4,8.5
5,7.4
6,3.8
7,9.4
8,10.0
9,17.7
10,10.9
11,6.8
12,11.8
13,8.5
14,7.3
15,7.2
16,6.9
17,3.4
18,4.0
19,11.7
20,5.7